(1)
{"formula": "CdAg", "functional": "PBE-GGA", "state": "relaxed", "cell": [[5.130, -0.008, -0.005], [4.222, 2.913, -0.005], [4.222, 1.311, 2.601]], "species": ["Ag", "Cd"], "fractional_positions": [[0.000, 0.000, 0.000], [0.500, 0.500, 0.500]], "formation_enthalpy_0k_ev_per_fu": -0.03, "final_energy_ha_per_atom": -0.0697}


(2)
{"formula": "Cd2Ag", "functional": "PBE-GGA", "state": "relaxed", "cell": [[5.415, 0.000, 0.000], [0.000, 4.854, 0.000], [0.000, 0.000, 9.212]], "species": ["Ag", "Ag", "Ag", "Ag", "Cd", "Cd", "Cd", "Cd", "Cd", "Cd", "Cd", "Cd"], "fractional_positions": [[0.179, 0.250, 0.834], [0.321, 0.750, 0.334], [0.679, 0.250, 0.666], [0.821, 0.750, 0.166], [0.148, 0.250, 0.170], [0.169, 0.250, 0.508], [0.331, 0.750, 0.008], [0.352, 0.750, 0.670], [0.648, 0.250, 0.330], [0.669, 0.250, 0.992], [0.831, 0.750, 0.492], [0.852, 0.750, 0.830]], "formation_enthalpy_0k_ev_per_fu": -0.15, "de_polymorph_mev_per_atom": 6.1, "final_energy_ha_per_atom": -0.0591}


(3)
{"formula": "CdAg7", "functional": "PBE-GGA", "state": "relaxed", "cell": [[5.904, 0.000, 0.000], [2.952, 5.113, 0.000], [2.952, 1.704, 4.821]], "species": ["Ag", "Ag", "Ag", "Ag", "Ag", "Ag", "Ag", "Cd"], "fractional_positions": [[0.000, 0.000, 0.500], [0.000, 0.500, 0.000], [0.000, 0.500, 0.500], [0.500, 0.000, 0.000], [0.500, 0.000, 0.500], [0.500, 0.500, 0.000], [0.500, 0.500, 0.500], [0.000, 0.000, 0.000]], "formation_enthalpy_0k_ev_per_fu": -0.11, "final_energy_ha_per_atom": -0.0964}